Entry 1:
{
  "formula": "FeIr2I",
  "functional": "PBE",
  "state": "relaxed",
  "sg": "I-42d (122)",
  "raw_formation_energy_kcal_per_mol_atoms": 20.784,
  "relative_energy_mev_per_atom": 0,
  "magmom_total_mub_per_fu": 3.12,
  "vol_a3_per_atom": 17.78,
  "cell": [[-1.983, 1.983, 9.040], [1.983, -1.983, 9.040], [1.983, 1.983, -9.040]],
  "species": ["Fe", "Fe", "Ir", "Ir", "Ir", "Ir", "I", "I"],
  "fractional_positions": [[0.000, 0.000, 0.000], [0.750, 0.250, 0.500], [0.091, 0.625, 0.966], [0.375, 0.341, 0.466], [0.659, 0.125, 0.034], [0.875, 0.909, 0.534], [0.250, 0.750, 0.500], [0.500, 0.500, 0.000]]
}


Entry 2:
{
  "formula": "HoGe2S4",
  "functional": "PBE",
  "state": "relaxed",
  "sg": "I4/m (87)",
  "raw_formation_energy_kcal_per_mol_atoms": -11.833,
  "magmom_total_mub_per_fu": 0.00,
  "vol_a3_per_atom": 25.44,
  "cell": [[-3.674, 3.674, 3.298], [3.674, -3.674, 3.298], [3.674, 3.674, -3.298]],
  "species": ["Ho", "Ge", "Ge", "S", "S", "S", "S"],
  "fractional_positions": [[0.000, 0.000, 0.000], [0.250, 0.750, 0.500], [0.750, 0.250, 0.500], [0.181, 0.685, 0.866], [0.315, 0.181, 0.496], [0.685, 0.819, 0.504], [0.819, 0.315, 0.134]]
}


Entry 3:
{
  "formula": "La2MgAs",
  "functional": "PBE",
  "state": "relaxed",
  "ef_ev_per_atom": -0.385,
  "sg": "Cmm2 (35)",
  "relative_energy_mev_per_atom": 314,
  "magmom_total_mub_per_fu": 0.00,
  "vol_a3_per_atom": 29.64,
  "cell": [[2.348, -2.821, 0.000], [2.348, 2.821, 0.000], [0.000, 0.000, 8.950]],
  "species": ["La", "La", "Mg", "As"],
  "fractional_positions": [[0.000, 0.000, 0.000], [0.500, 0.500, 0.356], [0.000, 0.000, 0.629], [0.500, 0.500, 0.788]]
}


Entry 4:
{
  "formula": "Dy2ErPuSe4",
  "functional": "PBE",
  "state": "relaxed",
  "sg": "P2/m (10)",
  "raw_formation_energy_kcal_per_mol_atoms": -39.265,
  "magmom_total_mub_per_fu": 5.93,
  "vol_a3_per_atom": 24.02,
  "cell": [[7.075, 0.000, 0.000], [0.000, 4.062, 0.000], [-2.321, 0.000, 6.687]],
  "species": ["Dy", "Dy", "Er", "Pu", "Se", "Se", "Se", "Se"],
  "fractional_positions": [[0.000, 0.000, 0.000], [0.000, 0.500, 0.500], [0.500, 0.000, 0.500], [0.500, 0.500, 0.000], [0.248, 0.000, 0.745], [0.251, 0.500, 0.254], [0.749, 0.500, 0.746], [0.752, 0.000, 0.255]]
}


Entry 5:
{
  "formula": "CsNa2Pr",
  "functional": "PBE",
  "state": "relaxed",
  "ef_ev_per_atom": 0.379,
  "sg": "R-3m (166)",
  "magmom_total_mub_per_fu": 0.75,
  "vol_a3_per_atom": 45.41,
  "cell": [[1.890, 1.091, 14.678], [-1.890, 1.091, 14.678], [0.000, -2.182, 14.678]],
  "species": ["Cs", "Na", "Na", "Pr"],
  "fractional_positions": [[0.000, 0.000, 0.000], [0.420, 0.420, 0.420], [0.580, 0.580, 0.580], [0.500, 0.500, 0.500]]
}


Entry 6:
{
  "formula": "Ba2Cd4In3Sn",
  "functional": "PBE",
  "state": "relaxed",
  "ef_ev_per_atom": -0.348,
  "sg": "P-4m2 (115)",
  "magmom_total_mub_per_fu": 0.00,
  "vol_a3_per_atom": 29.96,
  "cell": [[4.950, 0.000, 0.000], [0.000, 4.950, 0.000], [0.000, 0.000, 12.227]],
  "species": ["Ba", "Ba", "Cd", "Cd", "Cd", "Cd", "In", "In", "In", "Sn"],
  "fractional_positions": [[0.000, 0.500, 0.249], [0.500, 0.000, 0.751], [0.000, 0.000, 0.000], [0.000, 0.500, 0.637], [0.500, 0.000, 0.363], [0.500, 0.500, 0.000], [0.000, 0.500, 0.869], [0.500, 0.000, 0.131], [0.500, 0.500, 0.500], [0.000, 0.000, 0.500]]
}